[1]
8
Lattice="3.9926 0.0000 0.0000 0.0000 7.0879 -0.1550 0.0000 2.4848 6.8526" Properties=species:S:1:pos:R:3 comment="PBE Pa4GePtSe2, relaxed" raw_formation_energy_kj_per_mol_atoms=-88.1 total_magnetization_mub_per_fu=0.00 dos_at_fermi_per_ev_cell=13.659 rho_g_cm3=11.5 vol_a3_per_cell=195.5 pbc="T T T"
Pa 0.0001 7.1163 5.0947
Pa 3.9926 2.4565 1.6029
Pa 1.9963 5.9186 1.5900
Pt 1.9963 3.5440 -0.0775
Se 1.9963 1.2424 3.4263
Se 0.0000 2.4848 6.8526
Pa 1.9963 3.6542 5.1075
Ge 0.0000 4.7863 3.3488

=====

[2]
5
Lattice="4.4914 0.0000 0.0000 0.0000 4.4914 0.0000 2.2457 2.2457 7.5386" Properties=species:S:1:pos:R:3 comment="PBE Na2CdPb2, relaxed" total_magnetization_mub_per_fu=0.00 dos_at_fermi_per_ev_cell=2.602 delta_e_f_kj_per_mol_fu=49 rho_g_cm3=6.3 vol_a3_per_cell=152.1 pbc="T T T"
Cd 0.0000 0.0000 0.0000
Pb 4.4914 4.4914 6.0927
Pb 2.2457 2.2457 1.4459
Na 4.4914 2.2457 3.7693
Na 2.2457 4.4914 3.7693

=====

[3]
30
Lattice="-7.4211 -4.6570 0.1274 -1.4514 -6.0977 -6.1228 0.1942 -8.4938 2.1432" Properties=species:S:1:pos:R:3 comment="PBE Ta6Os23Ru, relaxed" total_magnetization_mub_per_fu=1.53 dos_at_fermi_per_ev_cell=30.543 delta_e_f_kj_per_mol_fu=783 rho_g_cm3=19.4 vol_a3_per_cell=475.7 pbc="T T T"
Os -0.6286 -7.2957 -1.9898
Os -5.8469 -12.9683 -2.5953
Os -4.4363 -5.3773 -2.9977
Os -0.9206 -6.7575 0.6783
Os -3.7340 -14.5183 -3.4653
Os 0.0000 0.0000 0.0000
Os 0.0971 -4.2469 1.0716
Os -2.8907 -3.6889 -1.9107
Os -3.7105 -2.3285 0.0637
Os -2.8315 -6.2802 -1.2568
Os -7.7577 -12.4910 -4.5304
Os -5.7876 -15.5596 -1.9414
Os -7.6552 -16.9791 -3.3980
Os -8.1109 -14.3891 -2.5564
Os -4.9444 -4.7302 -0.3869
Os -2.3887 -4.4199 0.6111
Ta -5.5834 -11.1438 -0.1178
Ta -3.0949 -8.1047 -3.7343
Os -1.7901 -5.4914 -3.6894
Os -6.2897 -14.8286 -4.4633
Ta -5.6671 -7.4840 -1.0413
Os -0.5674 -4.8595 -1.2957
Ta -2.3859 -9.1372 -0.1727
Os -3.6135 -6.5754 1.1353
Ta -3.0113 -11.7645 -2.8108
Os -0.7257 -3.0488 -3.0614
Ru -4.3392 -9.6243 -1.9261
Os -6.8882 -13.7571 -0.1628
Ta -6.2925 -10.1113 -3.6794
Os -1.0232 -2.2695 -0.4542

=====

[4]
7
Lattice="-5.9766 -1.0557 2.1215 3.4231 -5.3683 0.8941 2.4301 4.9869 3.2498" Properties=species:S:1:pos:R:3 comment="PBE Tm4Mg2Pb, relaxed" total_magnetization_mub_per_fu=0.00 dos_at_fermi_per_ev_cell=6.799 delta_e_f_kj_per_mol_fu=-14 rho_g_cm3=7.6 vol_a3_per_cell=204.3 pbc="T T T"
Tm -0.0617 -0.7186 3.1327
Tm 1.7115 -2.6841 0.4471
Tm 1.2151 2.4934 1.6249
Pb 0.0000 0.0000 0.0000
Mg -1.7732 1.9656 2.6856
Tm -2.9883 -0.5279 1.0607
Mg -1.2768 -3.2120 1.5078

=====

[5]
24
Lattice="6.5488 0.0000 0.0000 -3.2744 5.6714 0.0000 0.0000 0.0000 22.8097" Properties=species:S:1:pos:R:3 comment="PBE Cs2RbHg9, relaxed" total_magnetization_mub_per_fu=0.00 dos_at_fermi_per_ev_cell=17.569 delta_e_f_kj_per_mol_fu=-223 rho_g_cm3=8.5 vol_a3_per_cell=847.2 pbc="T T T"
Hg 0.0000 0.0000 11.4048
Hg 1.6425 0.9483 14.3222
Hg 1.6318 4.7231 2.9173
Cs 0.0000 3.7809 12.2714
Hg 0.0000 1.8966 2.9173
Hg -1.6318 4.7231 2.9173
Hg 4.9062 0.9483 19.8923
Hg 0.0000 1.8966 8.4875
Cs 3.2744 1.8905 10.5383
Rb 3.2744 1.8905 5.7024
Hg 0.0000 0.0000 0.0000
Hg 3.2744 3.7748 14.3222
Hg 3.2744 1.8905 17.1073
Hg 1.6425 0.9483 19.8923
Hg -1.6318 4.7231 8.4875
Cs 0.0000 3.7809 21.9431
Hg 3.2744 3.7748 19.8923
Hg 0.0000 0.0000 17.1073
Rb 0.0000 3.7809 17.1073
Hg 1.6318 4.7231 8.4875
Hg 0.0000 0.0000 5.7024
Hg 4.9062 0.9483 14.3222
Hg 0.0000 3.7809 5.7024
Cs 3.2744 1.8905 0.8666

=====

[6]
16
Lattice="8.6866 0.0000 0.0000 0.0000 8.6866 0.0000 0.0000 0.0000 8.6866" Properties=species:S:1:pos:R:3 comment="PBE CS, relaxed" raw_formation_energy_kj_per_mol_atoms=144.9 total_magnetization_mub_per_fu=0.00 dos_at_fermi_per_ev_cell=0.000 rho_g_cm3=0.9 vol_a3_per_cell=655.5 pbc="T T T"
S 2.7375 5.9491 5.9491
C 6.8350 1.8516 6.8350
S 2.7375 2.7375 2.7375
S 5.9491 2.7375 5.9491
C 2.4917 6.1949 2.4917
S 7.0808 7.0808 7.0808
S 7.0808 1.6058 1.6058
S 1.6058 1.6058 7.0808
C 6.1949 6.1949 6.1949
S 1.6058 7.0808 1.6058
C 6.8350 6.8350 1.8516
C 2.4917 2.4917 6.1949
C 6.1949 2.4917 2.4917
S 5.9491 5.9491 2.7375
C 1.8516 6.8350 6.8350
C 1.8516 1.8516 1.8516